[1]
Here is Pm2IO7 after structural relaxation from Alexandria. Energies are from GGA-PBE.

**Formation energy without anion corrections**: -1581 meV/atom
**Uncorrected energy**: -123.1 eV/cell

abc: 7.141 7.141 8.639
angles: 126.98 126.98 49.58
Positions (direct):
Pm1 0.163 0.212 0.293
Pm2 0.212 0.163 0.793
Pm3 0.788 0.837 0.207
Pm4 0.837 0.788 0.707
I1 0.446 0.554 0.250
I2 0.554 0.446 0.750
O1 0.113 0.887 0.250
O2 0.171 0.600 0.569
O3 0.209 0.436 0.176
O4 0.233 0.576 0.964
O5 0.400 0.829 0.931
O6 0.424 0.767 0.536
O7 0.436 0.209 0.676
O8 0.564 0.791 0.324
O9 0.576 0.233 0.464
O10 0.600 0.171 0.069
O11 0.767 0.424 0.036
O12 0.791 0.564 0.824
O13 0.829 0.400 0.431
O14 0.887 0.113 0.750


[2]
Here is CrB2Cl after structural relaxation from Alexandria. Energies are from GGA-PBE.

**Formation energy without anion corrections**: 1980 meV/atom
**Uncorrected energy**: -16.9 eV/cell
**Relative energy among the computed polymorphs**: 0.656 eV/atom

abc: 3.880 3.880 3.880
angles: 60.00 60.00 60.00
Positions (direct):
Cr1 0.000 0.000 0.000
B1 0.250 0.250 0.250
B2 0.750 0.750 0.750
Cl1 0.500 0.500 0.500


[3]
Here is RbTiGa after structural relaxation from Alexandria. Energies are from GGA-PBE.

**ΔH_f (0 K)**: 1.069 eV/atom
**Uncorrected energy**: -8.7 eV/cell
**Relative energy among the computed polymorphs**: 1.065 eV/atom

abc: 5.198 5.198 5.198
angles: 60.00 60.00 60.00
Positions (direct):
Rb1 0.000 0.000 0.000
Ti1 0.500 0.500 0.500
Ga1 0.250 0.250 0.250